A plane-wave DFT calculation with GGA-PBE was carried out for ZrCu2Pt after structural relaxation.

abc: 4.4160 4.4160 4.4160
angles: 60.00 60.00 60.00
Atoms (fractional coordinates):
Cu (0.7500, 0.7500, 0.7500)
Cu (0.2500, 0.2500, 0.2500)
Zr (0.0000, 0.0000, 0.0000)
Pt (0.5000, 0.5000, 0.5000)

Computed properties:
E_form   -0.402 eV per atom